K2CaMg2: optimized geometry, GGA-PBE.

Cell and atoms, written as CIF:
```
data_K2CaMg2
_cell_length_a 10.400
_cell_length_b 10.400
_cell_length_c 3.826
_cell_angle_alpha 90.00
_cell_angle_beta 90.00
_cell_angle_gamma 90.00
_space_group_name_H-M_alt 'P 4/m b m'
_space_group_IT_number 127
_space_group_name_Hall '-P 4 2ab'
loop_
_atom_site_label
_atom_site_fract_x
_atom_site_fract_y
_atom_site_fract_z
K1 0.124 0.376 0.000
Ca1 0.000 0.000 0.000
Mg1 0.179 0.679 0.500
```

***

K2CaMg2: optimized geometry, GGA-PBE.

Cell and atoms, written as CIF:
```
data_K2CaMg2
_cell_length_a 8.733
_cell_length_b 8.733
_cell_length_c 5.926
_cell_angle_alpha 90.00
_cell_angle_beta 90.00
_cell_angle_gamma 90.00
_space_group_name_H-M_alt 'P 4/m b m'
_space_group_IT_number 127
_space_group_name_Hall '-P 4 2ab'
loop_
_atom_site_label
_atom_site_fract_x
_atom_site_fract_y
_atom_site_fract_z
K1 0.173 0.327 0.000
Ca1 0.000 0.000 0.500
Mg1 0.125 0.625 0.500
```

***

KCa2MgNi: optimized geometry, GGA-PBE.

Cell and atoms, written as CIF:
```
data_KCa2MgNi
_cell_length_a 5.584
_cell_length_b 5.584
_cell_length_c 5.261
_cell_angle_alpha 90.00
_cell_angle_beta 90.00
_cell_angle_gamma 90.00
_space_group_name_H-M_alt 'P 4/m m m'
_space_group_IT_number 123
_space_group_name_Hall '-P 4 2'
loop_
_atom_site_label
_atom_site_fract_x
_atom_site_fract_y
_atom_site_fract_z
K1 0.000 0.000 0.000
Ca1 0.000 0.500 0.500
Mg1 0.500 0.500 0.000
Ni1 0.500 0.500 0.500
```

***

no.,energy of formation (eV per atom),total moment (μB per cell),calculated density (Mg/m³)
1,0.3001,0.00,1.339
2,0.2100,0.00,1.226
3,0.0297,0.00,2.048